! RbVCu3Se4 | the Alexandria database | GGA-PBE | relaxed; values from VASP
&SYSTEM
  ibrav = 0, nat = 9, ntyp = 4
/
ATOMIC_SPECIES
Rb 85.47 Rb.upf
V 50.94 V.upf
Cu 63.55 Cu.upf
Se 78.96 Se.upf
CELL_PARAMETERS angstrom
6.165 0.000 0.000
0.000 6.165 0.000
0.000 0.000 6.165
ATOMIC_POSITIONS crystal
Rb 0.000 0.000 0.000
V 0.500 0.500 0.500
Cu 0.000 0.500 0.500
Cu 0.500 0.000 0.500
Cu 0.500 0.500 0.000
Se 0.282 0.282 0.718
Se 0.282 0.718 0.282
Se 0.718 0.282 0.282
Se 0.718 0.718 0.718
! Raw total energy ... -4.4729 eV per atom
! SG ... P-43m
! Raw formation energy ... -438.2 meV/atom
! M_tot ... 1.0 Bohr magnetons per cell